Here is ReOsPt2 after structural relaxation from Alexandria. Energies are from PBE.

As for the formation energy from the elements: 0.131 eV per atom. The total energy is -8.809 eV per atom.

It has space group Pmmm (No. 47), with a = 2.732 Å, b = 4.017 Å, c = 5.474 Å, α = 90.00°, β = 90.00° and γ = 90.00°. The inequivalent atoms are Re at (0.000, 0.000, 0.000), Os at (0.000, 0.000, 0.500) and Pt at (0.500, 0.500, 0.248).